Compound: Lu4BSb2
Source: the Alexandria database
Functional: PBE-GGA
Structure: optimized geometry

- Raw formation energy: -0.6873 eV per atom

a = 4.782 Å, b = 4.782 Å, c = 15.428 Å
α = 90.00°, β = 90.00°, γ = 90.00°
Space group I4/mmm (No. 139)
Asymmetric unit:
Lu: 0.000 0.000 0.160 (multiplicity 4)
Lu: 0.000 0.500 0.000 (multiplicity 4)
B: 0.000 0.000 0.000 (multiplicity 2)
Sb: 0.000 0.000 0.359 (multiplicity 4)